1.
The following is a DFT calculation (PBE-GGA) of NbCd2FeCu after structural relaxation.

Lattice parameters (Å, degrees): 5.4424 5.4424 4.3766 90.00 90.00 90.00
Fractional positions:
Nb 0.0000 0.0000 0.0000
Cd 0.0000 0.5000 0.0000
Cd 0.5000 0.0000 0.0000
Fe 0.0000 0.0000 0.5000
Cu 0.5000 0.5000 0.5000

Results
V	129.6	Å³/cell
uncorrected energy	-3.463	eV per atom
magnetization	1.7	μB/f.u.


2.
The following is a DFT calculation (PBE-GGA) of TaTlN2 after structural relaxation.

Lattice parameters (Å, degrees): 7.4167 7.4167 7.4167 24.71 24.71 24.71
Fractional positions:
Ta 0.0000 0.0000 0.0000
Tl 0.5000 0.5000 0.5000
N 0.3823 0.3823 0.3823
N 0.6177 0.6177 0.6177

Results
V	62.7	Å³/cell
uncorrected energy	-8.137	eV per atom
uncorrected formation energy	-0.42	eV/atom
magnetization	0.0	μB/f.u.
E above lowest polymorph	109	meV per atom


3.
The following is a DFT calculation (PBE-GGA) of Nd4TlSb3 after structural relaxation.

Lattice parameters (Å, degrees): 6.4048 6.4048 6.4048 90.00 90.00 90.00
Fractional positions:
Nd 0.0000 0.0000 0.0000
Nd 0.0000 0.5000 0.5000
Nd 0.5000 0.0000 0.5000
Nd 0.5000 0.5000 0.0000
Tl 0.5000 0.5000 0.5000
Sb 0.0000 0.0000 0.5000
Sb 0.0000 0.5000 0.0000
Sb 0.5000 0.0000 0.0000

Results
V	262.7	Å³/cell
uncorrected energy	-5.134	eV per atom
uncorrected formation energy	-0.91	eV/atom
magnetization	0.0	μB/f.u.


4.
The following is a DFT calculation (PBE-GGA) of LiSe after structural relaxation.

Lattice parameters (Å, degrees): 13.9726 4.4484 4.6003 90.00 90.00 90.00
Fractional positions:
Li 0.0000 0.1122 0.0000
Li 0.2411 0.7130 0.5869
Li 0.2589 0.2870 0.0869
Li 0.5000 0.8878 0.5000
Li 0.7411 0.2870 0.0869
Li 0.7589 0.7130 0.5869
Se 0.0000 0.6098 0.2903
Se 0.1643 0.7860 0.0887
Se 0.3357 0.2140 0.5886
Se 0.5000 0.3902 0.7903
Se 0.6643 0.2140 0.5886
Se 0.8357 0.7860 0.0887

Results
V	285.9	Å³/cell
uncorrected energy	-3.436	eV per atom
uncorrected formation energy	-0.74	eV/atom
magnetization	0.1	μB/f.u.
E above lowest polymorph	172	meV per atom